1.
The following is a GGA-PBE calculation of CaAgICl2 after structural relaxation, from Alexandria via LeMat-Bulk.

The structure in POSCAR format:
```
CaAgICl2
1.0
4.618 0.000 0.000
0.000 7.738 1.108
0.000 -1.388 8.405
Cl Ag Ca I
4 2 2 2
Cartesian
3.464 4.468 5.661 Cl
1.155 1.882 3.852 Cl
1.155 2.913 7.728 Cl
3.464 3.437 1.785 Cl
3.464 1.670 5.120 Ag
1.155 4.680 4.393 Ag
3.464 4.230 8.465 Ca
1.155 2.120 1.048 Ca
3.464 -0.255 7.164 I
1.155 6.605 2.349 I
```

## Properties
Density = 3.735 g cm⁻³
E_form (uncorrected) = -1.383 eV/atom
Uncorrected energy = -3.402 eV per atom
V = 307.5 Å³ per cell
SG = P2_1/m, No. 11


2.
The following is a GGA-PBE calculation of CaInAg2Cl8 after structural relaxation, from Alexandria via LeMat-Bulk.

The structure in POSCAR format:
```
CaInAg2Cl8
1.0
-5.770 0.865 -3.254
2.076 -4.948 -3.454
-3.541 -4.949 4.963
In Cl Ag Ca
1 8 2 1
Cartesian
0.000 0.000 0.000 In
-7.197 -4.107 0.330 Cl
-5.289 -1.439 -2.345 Cl
-5.885 -7.936 0.311 Cl
-3.194 -3.561 0.383 Cl
-1.946 -7.593 0.600 Cl
-1.349 -1.097 -2.056 Cl
-4.041 -5.472 -2.127 Cl
-0.037 -4.925 -2.075 Cl
-4.506 -5.759 0.373 Ag
-2.728 -3.274 -2.118 Ag
-1.770 -2.475 2.481 Ca
```

## Properties
Density = 3.269 g cm⁻³
E_form (uncorrected) = -1.105 eV/atom
Uncorrected energy = -3.206 eV per atom
V = 332.4 Å³ per cell
SG = P2/m, No. 10


3.
The following is a GGA-PBE calculation of CaInAgCl6 after structural relaxation, from Alexandria via LeMat-Bulk.

The structure in POSCAR format:
```
CaInAgCl6
1.0
6.793 0.000 0.000
-3.396 5.882 0.000
0.000 0.000 12.080
Cl Ag Ca In
12 2 2 2
Cartesian
-2.105 3.901 10.524 Cl
2.361 0.127 1.555 Cl
5.502 1.981 1.555 Cl
1.291 1.981 4.485 Cl
4.431 0.127 4.485 Cl
-1.035 5.755 7.595 Cl
2.326 3.774 1.555 Cl
2.105 3.901 7.595 Cl
1.070 2.109 10.524 Cl
4.466 3.774 4.485 Cl
1.035 5.755 10.524 Cl
-1.070 2.109 7.595 Cl
0.000 0.000 6.040 Ag
0.000 0.000 0.000 Ag
0.000 3.922 3.020 Ca
3.396 1.961 9.060 Ca
3.396 1.961 3.020 In
0.000 3.922 9.060 In
```

## Properties
Density = 3.272 g cm⁻³
E_form (uncorrected) = -1.367 eV/atom
Uncorrected energy = -3.442 eV per atom
V = 482.7 Å³ per cell
SG = P-31c, No. 163


4.
The following is a GGA-PBE calculation of KCa3Ag4Cl12 after structural relaxation, from Alexandria via LeMat-Bulk.

The structure in POSCAR format:
```
KCa3Ag4Cl12
1.0
9.075 -0.204 -0.284
-2.385 8.758 -0.284
-2.385 -3.049 8.215
Cl Ca Ag K
12 3 4 1
Cartesian
0.207 4.274 3.824 Cl
6.847 3.918 0.342 Cl
7.571 0.925 2.446 Cl
4.163 6.424 -0.308 Cl
4.098 3.235 2.381 Cl
0.142 7.836 1.654 Cl
2.153 -2.084 7.305 Cl
-3.266 3.479 5.994 Cl
2.153 0.748 5.267 Cl
5.232 -2.066 5.201 Cl
-0.927 -0.084 7.956 Cl
-2.542 6.424 3.824 Cl
4.143 3.653 -0.284 Ca
-2.385 3.677 3.374 Ca
2.547 -1.825 4.557 Ca
-2.528 1.590 7.295 Ag
2.153 2.752 3.824 Ag
2.153 7.575 0.352 Ag
6.833 -0.908 3.824 Ag
0.000 0.000 0.000 K
```

## Properties
Density = 2.666 g cm⁻³
E_form (uncorrected) = -1.415 eV/atom
Uncorrected energy = -3.448 eV per atom
V = 632.9 Å³ per cell
SG = R32, No. 155


> Look up the density of the first one.

3.735 g cm⁻³